The following is a DFT calculation (PBE-GGA) of crystalline BaMg6Cu at its relaxed geometry.

abc: 4.9829 6.1077 14.0149
angles: 90.00 90.00 90.00
Space group Amm2 (No. 38)
Inequivalent atoms, fractional coordinates:
Ba 0.0000 0.0000 0.0000 [2 per cell]
Mg 0.0000 0.2408 0.7348 [4 per cell]
Mg 0.5000 0.0000 0.1690 [2 per cell]
Mg 0.5000 0.0000 0.5871 [2 per cell]
Mg 0.5000 0.2407 0.3688 [4 per cell]
Cu 0.0000 0.0000 0.3879 [2 per cell]

## Properties
E above lowest polymorph   3 meV per atom
Magnetization   0.00 μB per formula unit